{"formula": "Na4Hg5", "functional": "PBE-GGA", "state": "relaxed", "lattice_angstrom": [[-0.546, -5.063, 1.148], [2.815, -3.590, -2.625], [9.992, -2.891, 3.868]], "species": ["Na", "Na", "Na", "Na", "Hg", "Hg", "Hg", "Hg", "Hg"], "frac_coords": [[0.333, 0.216, 0.118], [0.667, 0.784, 0.882], [0.999, 0.334, 0.667], [0.001, 0.666, 0.333], [0.666, 0.126, 0.541], [0.334, 0.874, 0.459], [0.000, 0.000, 0.000], [0.334, 0.544, 0.789], [0.666, 0.456, 0.211]], "relative_energy_ev_per_fu": 0.000, "formation_enthalpy_0k_ev_per_atom": -0.233, "e_tot_ev_per_atom": -0.987}

=====

{"formula": "CeSm2Tl", "functional": "PBE-GGA", "state": "relaxed", "lattice_angstrom": [[5.488, 0.000, 0.000], [2.744, 4.753, 0.000], [2.744, 1.584, 4.481]], "species": ["Ce", "Tl", "Sm", "Sm"], "frac_coords": [[0.000, 0.000, 0.000], [0.500, 0.500, 0.500], [0.250, 0.250, 0.250], [0.750, 0.750, 0.750]], "relative_energy_ev_per_fu": 0.602, "formation_enthalpy_0k_ev_per_atom": 0.000, "e_tot_ev_per_atom": -4.435}

=====

{"formula": "NdHoTl", "functional": "PBE-GGA", "state": "relaxed", "lattice_angstrom": [[4.757, 0.000, 0.000], [0.000, 9.488, 0.000], [0.000, 0.000, 8.273]], "species": ["Ho", "Ho", "Ho", "Ho", "Tl", "Tl", "Tl", "Tl", "Nd", "Nd", "Nd", "Nd"], "frac_coords": [[0.250, 0.931, 0.642], [0.750, 0.069, 0.358], [0.750, 0.431, 0.858], [0.250, 0.569, 0.142], [0.750, 0.125, 0.737], [0.250, 0.875, 0.263], [0.750, 0.375, 0.237], [0.250, 0.625, 0.763], [0.750, 0.831, 0.973], [0.250, 0.331, 0.527], [0.250, 0.169, 0.027], [0.750, 0.669, 0.473]], "relative_energy_ev_per_fu": 0.000, "formation_enthalpy_0k_ev_per_atom": -0.264, "e_tot_ev_per_atom": -4.168}

=====

{"formula": "K3AsF6", "functional": "PBE-GGA", "state": "relaxed", "lattice_angstrom": [[-0.815, -6.076, 2.059], [1.835, -1.664, 5.974], [-4.452, -1.319, 4.501]], "species": ["F", "F", "F", "F", "F", "F", "As", "K", "K", "K"], "frac_coords": [[0.774, 0.226, 0.774], [0.226, 0.226, 0.774], [0.226, 0.774, 0.226], [0.226, 0.774, 0.774], [0.774, 0.226, 0.226], [0.774, 0.774, 0.226], [0.000, 0.000, 0.000], [0.750, 0.750, 0.750], [0.250, 0.250, 0.250], [0.500, 0.500, 0.500]], "raw_formation_energy_mev_per_atom": -2510.8, "e_tot_ev_per_atom": -4.428}

=====

{"formula": "Ga7Pd3", "functional": "PBE-GGA", "state": "relaxed", "lattice_angstrom": [[7.694, 0.000, 0.000], [-2.565, 7.254, 0.000], [-2.565, -3.627, 6.282]], "species": ["Ga", "Ga", "Ga", "Ga", "Ga", "Ga", "Ga", "Ga", "Ga", "Ga", "Ga", "Ga", "Ga", "Ga", "Pd", "Pd", "Pd", "Pd", "Pd", "Pd"], "frac_coords": [[0.750, 0.500, 0.250], [0.671, 0.000, 0.000], [0.250, 0.750, 0.500], [0.000, 0.000, 0.671], [0.000, 0.671, 0.000], [0.500, 0.750, 0.250], [0.671, 0.671, 0.671], [0.250, 0.500, 0.750], [0.750, 0.250, 0.500], [0.329, 0.329, 0.329], [0.500, 0.250, 0.750], [0.000, 0.329, 0.000], [0.000, 0.000, 0.329], [0.329, 0.000, 0.000], [0.657, 0.657, 0.000], [0.000, 0.657, 0.657], [0.000, 0.343, 0.343], [0.343, 0.000, 0.343], [0.343, 0.343, 0.000], [0.657, 0.000, 0.657]], "formation_enthalpy_0k_ev_per_atom": -0.429, "e_tot_ev_per_atom": -4.106}

=====

{"formula": "Sr3LaZr", "functional": "PBE-GGA", "state": "relaxed", "lattice_angstrom": [[6.086, 0.000, 0.000], [0.000, 6.086, 0.000], [0.000, 0.000, 6.086]], "species": ["Sr", "Sr", "Sr", "La", "Zr"], "frac_coords": [[0.000, 0.000, 0.500], [0.500, 0.000, 0.000], [0.000, 0.500, 0.000], [0.000, 0.000, 0.000], [0.500, 0.500, 0.500]], "formation_enthalpy_0k_ev_per_atom": 1.236, "e_tot_ev_per_atom": -2.468}

=====

{"formula": "LaPrPu2Sb4", "functional": "PBE-GGA", "state": "relaxed", "lattice_angstrom": [[4.519, 0.000, 0.000], [0.000, 7.788, -0.147], [0.000, 2.747, 7.325]], "species": ["Pu", "Pu", "Sb", "Sb", "Sb", "Sb", "La", "Pr"], "frac_coords": [[0.000, 0.000, 0.000], [0.500, 0.000, 0.500], [0.000, 0.239, 0.253], [0.000, 0.761, 0.747], [0.500, 0.238, 0.756], [0.500, 0.762, 0.244], [0.000, 0.500, 0.500], [0.500, 0.500, 0.000]], "raw_formation_energy_mev_per_atom": -888.7, "e_tot_ev_per_atom": -7.746}

=====

{"formula": "Tb3YTm6Sc2", "functional": "PBE-GGA", "state": "relaxed", "lattice_angstrom": [[6.025, 0.002, -0.001], [-3.009, 5.219, -0.001], [-1.001, -1.733, 11.331]], "species": ["Tb", "Tb", "Tb", "Y", "Tm", "Tm", "Tm", "Tm", "Tm", "Tm", "Sc", "Sc"], "frac_coords": [[0.167, 0.833, 0.500], [0.833, 0.167, 0.500], [0.500, 0.500, 0.500], [0.000, 0.000, 0.000], [0.082, 0.418, 0.245], [0.582, 0.918, 0.755], [0.418, 0.082, 0.245], [0.745, 0.745, 0.245], [0.255, 0.255, 0.755], [0.918, 0.582, 0.755], [0.667, 0.333, 0.000], [0.333, 0.667, 0.000]], "formation_enthalpy_0k_ev_per_atom": 0.039, "e_tot_ev_per_atom": -4.948}

=====

{"formula": "Pm3Pr2Cd2", "functional": "PBE-GGA", "state": "relaxed", "lattice_angstrom": [[5.567, 0.000, 0.000], [-2.783, 4.815, -0.285], [0.000, -2.722, 8.389]], "species": ["Cd", "Cd", "Pr", "Pr", "Pm", "Pm", "Pm"], "frac_coords": [[0.212, 0.423, 0.135], [0.788, 0.577, 0.865], [0.925, 0.850, 0.275], [0.075, 0.150, 0.725], [0.342, 0.685, 0.527], [0.500, 0.000, 0.000], [0.658, 0.315, 0.473]], "relative_energy_ev_per_fu": 0.000, "formation_enthalpy_0k_ev_per_atom": -0.152, "e_tot_ev_per_atom": -3.815}

=====

{"formula": "CeIn3", "functional": "PBE-GGA", "state": "relaxed", "lattice_angstrom": [[-3.919, 1.259, -2.796], [-3.709, -4.058, 3.373], [-1.473, 4.893, 4.267]], "species": ["In", "In", "In", "In", "In", "In", "Ce", "Ce"], "frac_coords": [[0.000, 0.147, 0.251], [0.500, 0.853, 0.751], [0.500, 0.853, 0.249], [0.500, 0.299, 0.000], [0.000, 0.147, 0.749], [0.000, 0.701, 0.500], [0.500, 0.374, 0.500], [0.000, 0.626, 0.000]], "formation_enthalpy_0k_ev_per_atom": -0.297, "e_tot_ev_per_atom": -3.835}

=====

{"formula": "Rb3HgBi", "functional": "PBE-GGA", "state": "relaxed", "lattice_angstrom": [[-9.203, 3.223, 0.617], [-2.462, -6.004, -5.364], [-1.909, -7.290, 9.611]], "species": ["Hg", "Hg", "Hg", "Hg", "Bi", "Bi", "Bi", "Bi", "Rb", "Rb", "Rb", "Rb", "Rb", "Rb", "Rb", "Rb", "Rb", "Rb", "Rb", "Rb"], "frac_coords": [[0.752, 0.953, 0.426], [0.252, 0.047, 0.074], [0.248, 0.047, 0.574], [0.748, 0.953, 0.926], [0.216, 0.395, 0.632], [0.784, 0.605, 0.368], [0.716, 0.605, 0.868], [0.284, 0.395, 0.132], [0.179, 0.669, 0.388], [0.533, 0.771, 0.163], [0.321, 0.669, 0.888], [0.467, 0.229, 0.837], [0.821, 0.331, 0.612], [0.022, 0.285, 0.898], [0.978, 0.715, 0.102], [0.033, 0.229, 0.337], [0.478, 0.285, 0.398], [0.522, 0.715, 0.602], [0.679, 0.331, 0.112], [0.967, 0.771, 0.663]], "relative_energy_ev_per_fu": 0.000, "formation_enthalpy_0k_ev_per_atom": -0.311, "e_tot_ev_per_atom": -1.728}

=====

{"formula": "Na3Ge2Sb4", "functional": "PBE-GGA", "state": "relaxed", "lattice_angstrom": [[-3.870, -1.786, -5.293], [-4.908, -4.502, 6.119], [-5.842, 6.107, 3.221]], "species": ["Sb", "Sb", "Sb", "Sb", "Sb", "Sb", "Sb", "Sb", "Na", "Na", "Na", "Na", "Na", "Na", "Ge", "Ge", "Ge", "Ge"], "frac_coords": [[0.523, 0.072, 0.698], [0.023, 0.698, 0.072], [0.017, 0.218, 0.440], [0.477, 0.928, 0.302], [0.483, 0.560, 0.782], [0.977, 0.302, 0.928], [0.517, 0.440, 0.218], [0.983, 0.782, 0.560], [0.028, 0.013, 0.783], [0.250, 0.574, 0.426], [0.472, 0.217, 0.987], [0.972, 0.987, 0.217], [0.528, 0.783, 0.013], [0.750, 0.426, 0.574], [0.109, 0.601, 0.827], [0.609, 0.827, 0.601], [0.391, 0.173, 0.399], [0.891, 0.399, 0.173]], "raw_formation_energy_mev_per_atom": -107.5, "e_tot_ev_per_atom": -3.405}

=====

{"formula": "YTlIr2", "functional": "PBE-GGA", "state": "relaxed", "lattice_angstrom": [[-3.560, 4.055, 1.181], [-4.787, 1.435, 2.353], [1.148, 1.485, 4.521]], "species": ["Y", "Ir", "Ir", "Tl"], "frac_coords": [[0.733, 0.733, 0.802], [0.975, 0.975, 0.968], [0.270, 0.270, 0.285], [0.523, 0.523, 0.445]], "relative_energy_ev_per_fu": 0.712, "formation_enthalpy_0k_ev_per_atom": -0.079, "e_tot_ev_per_atom": -6.717}

=====

{"formula": "CdReRh", "functional": "PBE-GGA", "state": "relaxed", "lattice_angstrom": [[4.169, 3.869, 2.964], [0.478, 4.878, 4.137], [-2.197, -5.673, -2.033]], "species": ["Re", "Rh", "Cd"], "frac_coords": [[0.682, 0.682, 0.000], [0.320, 0.320, 0.000], [0.998, 0.998, 0.000]], "relative_energy_ev_per_fu": 0.577, "formation_enthalpy_0k_ev_per_atom": 0.124, "e_tot_ev_per_atom": -6.781}

=====

{"formula": "TiBi2", "functional": "PBE-GGA", "state": "relaxed", "lattice_angstrom": [[3.700, 0.001, -0.005], [0.001, 3.700, -0.005], [-1.855, -1.855, 5.651]], "species": ["Bi", "Bi", "Ti"], "frac_coords": [[0.860, 0.860, 0.720], [0.140, 0.140, 0.280], [0.500, 0.500, 0.000]], "formation_enthalpy_0k_ev_per_atom": -0.013, "e_tot_ev_per_atom": -5.232}

=====

{"formula": "Ni2Sb2S", "functional": "PBE-GGA", "state": "relaxed", "lattice_angstrom": [[6.977, 0.000, 0.000], [0.000, 6.977, 0.000], [0.000, 0.000, 3.587]], "species": ["Sb", "Sb", "Sb", "Sb", "Ni", "Ni", "Ni", "Ni", "S", "S"], "frac_coords": [[0.161, 0.661, 0.500], [0.339, 0.161, 0.500], [0.661, 0.839, 0.500], [0.839, 0.339, 0.500], [0.630, 0.130, 0.000], [0.130, 0.370, 0.000], [0.370, 0.870, 0.000], [0.870, 0.630, 0.000], [0.000, 0.000, 0.000], [0.500, 0.500, 0.000]], "relative_energy_ev_per_fu": 0.000, "raw_formation_energy_mev_per_atom": 97.0, "e_tot_ev_per_atom": -4.690}

=====

{"formula": "Sc4GeSbTe2", "functional": "PBE-GGA", "state": "relaxed", "lattice_angstrom": [[4.088, 0.000, 0.000], [0.000, 7.148, -0.166], [0.000, 2.493, 6.661]], "species": ["Sb", "Sc", "Sc", "Sc", "Sc", "Te", "Te", "Ge"], "frac_coords": [[0.500, 0.500, 0.000], [0.500, 0.723, 0.272], [0.000, 0.730, 0.741], [0.500, 0.277, 0.728], [0.000, 0.271, 0.259], [0.500, 0.000, 0.500], [0.000, 0.000, 0.000], [0.000, 0.500, 0.500]], "raw_formation_energy_mev_per_atom": -1053.7, "e_tot_ev_per_atom": -6.097}

=====

{"formula": "Al7Cr2Ga", "functional": "PBE-GGA", "state": "relaxed", "lattice_angstrom": [[-0.319, 3.505, 3.016], [-5.894, 2.073, -3.033], [-0.299, -4.542, 5.246]], "species": ["Al", "Al", "Al", "Al", "Al", "Al", "Al", "Cr", "Cr", "Ga"], "frac_coords": [[0.500, 0.698, 0.929], [0.000, 0.328, 0.672], [0.500, 0.302, 0.071], [0.000, 0.672, 0.328], [0.500, 0.929, 0.698], [0.500, 0.500, 0.500], [0.500, 0.071, 0.302], [0.500, 0.290, 0.710], [0.500, 0.710, 0.290], [0.000, 0.000, 0.000]], "formation_enthalpy_0k_ev_per_atom": 0.329, "e_tot_ev_per_atom": -4.518}

=====

{"formula": "PuCd4Hg3", "functional": "PBE-GGA", "state": "relaxed", "lattice_angstrom": [[-2.471, 3.524, -0.874], [-3.313, -1.584, 2.978], [10.305, 5.245, 3.041]], "species": ["Cd", "Cd", "Cd", "Cd", "Hg", "Hg", "Hg", "Pu"], "frac_coords": [[0.369, 0.109, 0.739], [0.254, 0.265, 0.509], [0.746, 0.735, 0.491], [0.631, 0.891, 0.261], [0.872, 0.617, 0.744], [0.000, 0.500, 0.000], [0.128, 0.383, 0.256], [0.500, 0.000, 0.000]], "relative_energy_ev_per_fu": 0.000, "formation_enthalpy_0k_ev_per_atom": -0.045, "e_tot_ev_per_atom": -2.407}

=====

{"formula": "MgIrSe2", "functional": "PBE-GGA", "state": "relaxed", "lattice_angstrom": [[3.880, -0.025, 0.026], [1.958, 3.350, 0.026], [1.921, 1.094, 5.956]], "species": ["Se", "Se", "Mg", "Ir"], "frac_coords": [[0.012, 0.012, 0.964], [0.488, 0.488, 0.536], [0.250, 0.250, 0.250], [0.750, 0.750, 0.750]], "raw_formation_energy_mev_per_atom": -359.4, "e_tot_ev_per_atom": -4.716}